# 1
Below is crystalline NiSe2Br at its relaxed geometry, with properties calculated at the PBE level.

abc: 3.5422 3.5422 25.4214
angles: 90.00 90.00 120.00
Space group R3m (No. 160, hexagonal axes)
Inequivalent atoms, fractional coordinates:
1 Ni 0.0000 0.0000 0.0000 x3
2 Se 0.0000 0.0000 0.4587 x3
3 Se 0.0000 0.0000 0.7191 x3
4 Br 0.0000 0.0000 0.2776 x3

Results
- total magnetization (μB per formula unit) = 0.00
- energy above the lowest structure with this stoichiometry (meV/atom) = 244
- formation energy without anion corrections (eV per atom) = 0.0056
- calculated volume (Å³ per atom) = 23.02

***

# 2
Below is crystalline ReNi2W at its relaxed geometry, with properties calculated at the PBE level.

abc: 3.711 3.711 3.838
angles: 90.00 90.00 90.00
Space group P4/mmm (No. 123)
Inequivalent atoms, fractional coordinates:
1 Re 0.000 0.000 0.000 x1
2 Ni 0.000 0.500 0.500 x2
3 W 0.500 0.500 0.000 x1

Results
- total magnetization (μB per formula unit) = 0.00
- calculated formation energy (eV/atom) = 0.04
- calculated volume (Å³ per atom) = 13.22

***

# 3
Below is crystalline RbIn2SiF8 at its relaxed geometry, with properties calculated at the PBE level.

abc: 5.489 5.543 6.907
angles: 94.60 95.81 91.59
Space group P-1 (No. 2)
Inequivalent atoms, fractional coordinates:
1 Rb 0.000 0.000 0.000 x1
2 In 0.477 0.496 0.725 x2
3 Si 0.000 0.000 0.500 x1
4 F 0.117 0.777 0.638 x2
5 F 0.134 0.224 0.677 x2
6 F 0.254 0.004 0.381 x2
7 F 0.409 0.705 0.006 x2

Results
- total magnetization (μB per formula unit) = 0.00
- formation energy without anion corrections (eV per atom) = -2.6031
- calculated volume (Å³ per atom) = 17.35

***

# 4
Below is crystalline NbBr at its relaxed geometry, with properties calculated at the PBE level.

abc: 11.607 11.607 3.341
angles: 90.00 90.00 90.00
Space group P4/m (No. 83)
Inequivalent atoms, fractional coordinates:
1 Nb 0.021 0.653 0.000 x4
2 Nb 0.028 0.174 0.500 x4
3 Br 0.167 0.460 0.000 x4
4 Br 0.189 0.737 0.500 x4

Results
- total magnetization (μB per formula unit) = 0.00
- formation energy without anion corrections (eV per atom) = -0.0333
- calculated volume (Å³ per atom) = 28.14

***

# 5
Below is crystalline Tb5AuSe4 at its relaxed geometry, with properties calculated at the PBE level.

abc: 9.204 9.204 5.860
angles: 90.00 90.00 90.00
Space group I4/m (No. 87)
Inequivalent atoms, fractional coordinates:
1 Tb 0.000 0.000 0.000 x2
2 Tb 0.101 0.299 0.500 x8
3 Au 0.000 0.000 0.500 x2
4 Se 0.097 0.303 0.000 x8

Results
- total magnetization (μB per formula unit) = 0.00
- formation energy without anion corrections (eV per atom) = -1.6085
- calculated volume (Å³ per atom) = 24.82

***

# 6
Below is crystalline TiSBr at its relaxed geometry, with properties calculated at the PBE level.

abc: 3.5613 3.5613 6.6502
angles: 90.00 90.00 120.00
Space group P3m1 (No. 156)
Inequivalent atoms, fractional coordinates:
1 Ti 0.0000 0.0000 0.0000 x1
2 S 0.3333 0.6667 0.8123 x1
3 Br 0.6667 0.3333 0.2627 x1

Results
- total magnetization (μB per formula unit) = 1.01
- formation energy without anion corrections (eV per atom) = -1.2365
- calculated volume (Å³ per atom) = 24.35

***

# 7
Below is crystalline Rb2SeF8 at its relaxed geometry, with properties calculated at the PBE level.

abc: 11.201 8.582 5.148
angles: 90.00 104.61 90.00
Space group C2/m (No. 12)
Inequivalent atoms, fractional coordinates:
1 Rb 0.143 0.000 0.322 x4
2 Se 0.000 0.500 0.000 x2
3 F 0.093 0.354 0.200 x8
4 F 0.099 0.500 0.780 x4
5 F 0.108 0.000 0.803 x4

Results
- total magnetization (μB per formula unit) = 0.82
- formation energy without anion corrections (eV per atom) = -1.9226
- calculated volume (Å³ per atom) = 21.77

***

# 8
Below is crystalline Pm3TlGe2 at its relaxed geometry, with properties calculated at the PBE level.

abc: 7.9023 7.9023 19.5312
angles: 90.00 90.00 120.00
Space group R-3c (No. 167, hexagonal axes)
Inequivalent atoms, fractional coordinates:
1 Pm 0.0000 0.3033 0.2500 x18
2 Tl 0.0000 0.0000 0.0000 x6
3 Ge 0.0000 0.0000 0.1563 x12

Results
- total magnetization (μB per formula unit) = 0.00
- calculated formation energy (eV/atom) = -0.54
- energy above the lowest structure with this stoichiometry (meV/atom) = 0
- calculated volume (Å³ per atom) = 29.34